1.
Compound: NaTl3In2Cl6
Source: the Alexandria database
Functional: PBE
Structure: relaxed

a b c (Å): 7.7786 7.7786 7.7428
angles (deg): 99.63 99.63 119.45
With the nearest neighbours (Å) after each atom.
Sites, in units of the cell vectors:
Cl1 0.3818 0.0740 0.2270  1 Na 2.91, 2 In 3.16-3.19, 2 Tl 3.20-3.21
Cl2 0.0740 0.3818 0.2270  1 Na 2.91, 2 In 3.16-3.19, 2 Tl 3.20-3.21
Cl3 0.9260 0.6182 0.7730  1 Na 2.91, 2 In 3.16-3.19, 2 Tl 3.20-3.21
Cl4 0.6182 0.9260 0.7730  1 Na 2.91, 2 In 3.16-3.19, 2 Tl 3.20-3.21
Cl5 0.7736 0.7736 0.2479  1 Na 3.02, 3 Tl 3.13-3.35, 2 In 3.26
Cl6 0.2264 0.2264 0.7521  1 Na 3.02, 3 Tl 3.13-3.35, 2 In 3.26
Na1 0.0000 0.0000 0.0000  6 Cl 2.91-3.02
In1 0.6672 0.3328 0.0000  6 Cl 3.16-3.26
In2 0.3328 0.6672 0.0000  6 Cl 3.16-3.26
Tl1 0.5000 0.5000 0.5000  6 Cl 3.21-3.35
Tl2 0.1682 0.8318 0.5000  6 Cl 3.13-3.43
Tl3 0.8318 0.1682 0.5000  6 Cl 3.13-3.43

Values from the calculation:
formation energy (no corrections): -1231 kJ/mol of formula units
crystal system: monoclinic



2.
Compound: NaTlInCl5
Source: the Alexandria database
Functional: PBE
Structure: relaxed

a b c (Å): 7.8712 7.8712 9.7390
angles (deg): 103.86 103.86 105.32
With the nearest neighbours (Å) after each atom.
Sites, in units of the cell vectors:
Cl1 0.6633 0.0977 0.3749  1 In 2.41
Cl2 0.2589 0.3869 0.5559  1 In 2.39
Cl3 0.9186 0.0814 0.7500  2 Na 2.64, 1 Tl 2.81
Cl4 0.9023 0.3367 0.1251  1 In 2.41
Cl5 0.0977 0.6633 0.8749  1 In 2.41
Cl6 0.7411 0.6131 0.4441  1 In 2.39
Cl7 0.6131 0.7411 0.9441  1 In 2.39
Cl8 0.3367 0.9023 0.6251  1 In 2.41
Cl9 0.0814 0.9186 0.2500  2 Na 2.64, 1 Tl 2.81
Cl10 0.3869 0.2589 0.0559  1 In 2.39
In1 0.6712 0.3288 0.2500  4 Cl 2.39-2.41
In2 0.3288 0.6712 0.7500  4 Cl 2.39-2.41
Tl1 0.3057 0.6943 0.2500  1 Cl 2.81
Tl2 0.6943 0.3057 0.7500  1 Cl 2.81
Na1 0.0000 0.0000 0.0000  2 Cl 2.64
Na2 0.0000 0.0000 0.5000  2 Cl 2.64

Values from the calculation:
formation energy (no corrections): -959 kJ/mol of formula units
crystal system: monoclinic



3.
Compound: NaTlInCl3
Source: the Alexandria database
Functional: PBE
Structure: relaxed

a b c (Å): 4.2847 8.7560 9.8094
angles (deg): 96.17 90.00 90.00
With the nearest neighbours (Å) after each atom.
Sites, in units of the cell vectors:
In1 0.2500 0.1523 0.5294  3 Cl 2.76-2.80
In2 0.7500 0.8477 0.4706  3 Cl 2.76-2.80
Cl1 0.7500 0.3950 0.1286  3 Na 2.74-2.90
Cl2 0.2500 0.6499 0.4298  1 Na 2.71, 2 In 2.76
Cl3 0.2500 0.1382 0.8133  1 In 2.80, 2 Na 3.01
Cl4 0.7500 0.8618 0.1867  1 In 2.80, 2 Na 3.01
Cl5 0.2500 0.6050 0.8714  3 Na 2.74-2.90
Cl6 0.7500 0.3501 0.5702  1 Na 2.71, 2 In 2.76
Na1 0.7500 0.3801 0.8483  6 Cl 2.71-3.01
Na2 0.2500 0.6199 0.1517  6 Cl 2.71-3.01
Tl1 0.2500 0.1529 0.1683  4 Cl 3.07-3.35
Tl2 0.7500 0.8471 0.8317  4 Cl 3.07-3.35

Values from the calculation:
formation energy (no corrections): -676 kJ/mol of formula units
crystal system: monoclinic



4.
Compound: Na2Tl3InCl6
Source: the Alexandria database
Functional: PBE
Structure: relaxed

a b c (Å): 4.3710 8.8937 9.8601
angles (deg): 103.04 102.81 90.00
With the nearest neighbours (Å) after each atom.
Sites, in units of the cell vectors:
Cl1 0.6756 0.5684 0.3512  3 Na 2.85-2.97
Cl2 0.3271 0.8867 0.6542  2 Na 2.98, 3 Tl 3.04-3.33, 1 In 3.24
Cl3 0.6729 0.1133 0.3458  2 Na 2.98, 3 Tl 3.04-3.33, 1 In 3.24
Cl4 0.3244 0.4316 0.6488  3 Na 2.85-2.97
Cl5 0.9799 0.7418 0.9597  1 Na 2.85, 2 In 3.13, 2 Tl 3.15
Cl6 0.0201 0.2582 0.0403  1 Na 2.85, 2 In 3.13, 2 Tl 3.15
Na1 0.1723 0.3404 0.3446  6 Cl 2.85-2.98
Na2 0.8277 0.6596 0.6554  6 Cl 2.85-2.98
Tl1 0.5000 0.5000 0.0000  6 Cl 3.15-3.29
Tl2 0.1652 0.8277 0.3303  5 Cl 3.04-3.33
Tl3 0.8348 0.1723 0.6697  5 Cl 3.04-3.33
In1 0.5000 0.0000 0.0000  6 Cl 3.13-3.24

Values from the calculation:
formation energy (no corrections): -1416 kJ/mol of formula units
crystal system: monoclinic



5.
Compound: Na2TlInCl4
Source: the Alexandria database
Functional: PBE
Structure: relaxed

a b c (Å): 4.2259 7.6721 7.3217
angles (deg): 71.48 90.00 90.00
With the nearest neighbours (Å) after each atom.
Sites, in units of the cell vectors:
Cl1 0.5000 0.7869 0.2391  3 Na 2.88-2.90, 2 In 3.21, 1 Tl 3.22
Cl2 0.0000 0.7864 0.7361  3 Na 2.89-2.90, 1 In 3.20, 2 Tl 3.21
Cl3 0.5000 0.2131 0.7609  3 Na 2.88-2.90, 2 In 3.21, 1 Tl 3.22
Cl4 0.0000 0.2136 0.2639  3 Na 2.89-2.90, 1 In 3.20, 2 Tl 3.21
Tl1 0.5000 0.5000 0.0000  6 Cl 3.21-3.22
In1 0.0000 0.5000 0.5000  6 Cl 3.20-3.21
Na1 0.0000 0.0000 0.0000  6 Cl 2.90
Na2 0.5000 0.0000 0.5000  6 Cl 2.88-2.89

Values from the calculation:
formation energy (no corrections): -1031 kJ/mol of formula units
crystal system: monoclinic



6.
Compound: NaTmIn2Cl6
Source: the Alexandria database
Functional: PBE
Structure: relaxed

a b c (Å): 7.5233 7.5235 7.5476
angles (deg): 60.10 60.10 59.99
With the nearest neighbours (Å) after each atom.
Sites, in units of the cell vectors:
Cl1 0.4823 0.6366 0.7806  1 Tm 2.63, 1 Na 2.79
Cl2 0.6366 0.1004 0.7807  1 Tm 2.63, 1 Na 2.79
Cl3 0.1006 0.4822 0.7805  1 Tm 2.63, 1 Na 2.79
Cl4 0.5713 0.1508 0.2674  1 Tm 2.60, 1 Na 2.88
Cl5 0.0104 0.5714 0.2673  1 Tm 2.60, 1 Na 2.88
Cl6 0.1508 0.0104 0.2675  1 Tm 2.60, 1 Na 2.88
Tm1 0.3195 0.3195 0.0416  6 Cl 2.60-2.63
In1 0.5384 0.5385 0.3847  6 Cl 3.21-3.31
In2 0.0365 0.0365 0.8905  6 Cl 3.25-3.26
Na1 0.8152 0.8152 0.5544  6 Cl 2.79-2.88

Values from the calculation:
formation energy (no corrections): -1562 kJ/mol of formula units
crystal system: trigonal